# 1
VASP calculation (GGA-PBE) on a relaxed CsScIr2 crystal.

```
CsScIr2
1.0
5.178 0.000 0.000
0.000 5.178 0.000
0.000 0.000 17.523
Cs Sc Ir
4 4 8
Direct
0.000 0.000 0.000 Cs
0.000 0.500 0.250 Cs
0.500 0.000 0.750 Cs
0.500 0.500 0.500 Cs
0.000 0.000 0.500 Sc
0.000 0.500 0.750 Sc
0.500 0.000 0.250 Sc
0.500 0.500 0.000 Sc
0.052 0.750 0.625 Ir
0.250 0.052 0.375 Ir
0.250 0.448 0.875 Ir
0.448 0.750 0.125 Ir
0.552 0.250 0.125 Ir
0.750 0.552 0.875 Ir
0.750 0.948 0.375 Ir
0.948 0.250 0.625 Ir
```

Computed properties:
Its total DFT energy (no corrections) is -5.72 eV per atom. The energy of formation from the pure elements comes out at 509 meV per atom. For the distance to the lowest polymorph of the same formula, the calculation gives 0 meV per atom.


# 2
VASP calculation (GGA-PBE) on a relaxed SrAcPBr crystal.

```
SrAcPBr
1.0
4.357 0.000 0.000
-2.179 3.773 0.000
0.000 0.000 23.781
Sr Ac P Br
3 3 3 3
Direct
0.000 0.000 0.000 Sr
0.333 0.667 0.667 Sr
0.667 0.333 0.333 Sr
0.000 0.000 0.805 Ac
0.333 0.667 0.472 Ac
0.667 0.333 0.139 Ac
0.000 0.000 0.401 P
0.333 0.667 0.067 P
0.667 0.333 0.734 P
0.000 0.000 0.573 Br
0.333 0.667 0.240 Br
0.667 0.333 0.906 Br
```

Computed properties:
Its total DFT energy (no corrections) is -4.67 eV per atom. The uncorrected formation energy is -1.46 eV per atom.